1.
The following is a DFT calculation (PBE-GGA) of a relaxed BaHgTeO crystal.

```
BaHgTeO
1.0
-1.190 -0.877 -4.093
1.988 -3.863 0.250
-11.270 -5.511 4.459
Ba Hg O Te
2 2 2 2
direct
0.250 0.250 0.405
0.750 0.750 0.595
0.750 0.750 0.109
0.250 0.250 0.891
0.750 0.250 0.500
0.250 0.750 0.500
0.250 0.250 0.128
0.750 0.750 0.872
```

## Properties
E_tot = -0.2741 Ry per atom
Mass density = 6.3 Mg/m³



2.
The following is a DFT calculation (PBE-GGA) of a relaxed AlHgB4 crystal.

```
AlHgB4
1.0
-1.976 -0.749 2.129
1.575 -2.134 -1.402
6.426 0.670 6.200
Al B Hg
1 4 1
direct
0.000 0.000 0.500
0.667 0.333 0.328
0.333 0.667 0.328
0.667 0.333 0.672
0.333 0.667 0.672
0.000 0.000 0.000
```

## Properties
E_tot = -0.3575 Ry per atom
Mass density = 6.4 Mg/m³



3.
The following is a DFT calculation (PBE-GGA) of a relaxed NbCoSbAu crystal.

```
NbCoSbAu
1.0
0.000 3.241 3.241
3.241 0.000 3.241
3.241 3.241 0.000
Au Co Nb Sb
1 1 1 1
direct
0.500 0.500 0.500
0.750 0.750 0.750
0.250 0.250 0.250
0.000 0.000 0.000
```

## Properties
E_tot = -0.4397 Ry per atom
Mass density = 11.5 Mg/m³
Magnetization = 0.08 μB/cell



4.
The following is a DFT calculation (PBE-GGA) of a relaxed KAlCoS3 crystal.

```
KAlCoS3
1.0
14.288 0.000 0.000
0.000 3.549 0.000
0.000 0.000 10.083
Al Co K S
4 4 4 12
direct
0.976 0.750 0.135
0.476 0.750 0.365
0.524 0.250 0.635
0.024 0.250 0.865
0.488 0.250 0.087
0.988 0.250 0.413
0.012 0.750 0.587
0.512 0.750 0.913
0.266 0.750 0.046
0.766 0.750 0.454
0.234 0.250 0.546
0.734 0.250 0.954
0.087 0.250 0.079
0.577 0.750 0.111
0.886 0.250 0.235
0.386 0.250 0.265
0.077 0.750 0.389
0.587 0.250 0.421
0.413 0.750 0.579
0.923 0.250 0.611
0.614 0.750 0.735
0.114 0.750 0.765
0.423 0.250 0.889
0.913 0.750 0.921
```

## Properties
E_tot = -0.3612 Ry per atom
Mass density = 2.9 Mg/m³
Magnetization = 7.48 μB/cell



5.
The following is a DFT calculation (PBE-GGA) of a relaxed PrPuMo crystal.

```
PrPuMo
1.0
-3.945 1.111 2.525
-4.133 0.941 -2.282
-3.655 -3.123 0.253
Mo Pr Pu
1 1 1
direct
0.000 0.000 0.000
0.250 0.250 0.250
0.750 0.750 0.750
```

## Properties
Formation enthalpy at 0 K = 0.6701 eV per atom
E_tot = -0.6796 Ry per atom
Mass density = 10.1 Mg/m³
Magnetization = 4.84 μB/cell



6.
The following is a DFT calculation (PBE-GGA) of a relaxed GdSiNi2 crystal.

```
GdSiNi2
1.0
-2.987 -2.131 -1.554
0.624 -3.971 4.245
-3.554 2.735 3.080
Gd Ni Si
2 4 2
direct
0.500 0.400 0.137
0.000 0.600 0.637
0.000 0.795 0.131
0.000 0.129 0.389
0.500 0.205 0.631
0.500 0.871 0.889
0.500 0.890 0.343
0.000 0.110 0.843
```

## Properties
E_tot = -0.4333 Ry per atom
Mass density = 7.9 Mg/m³
Magnetization = 0.00 μB/cell



7.
The following is a DFT calculation (PBE-GGA) of a relaxed In4Cu9 crystal.

```
In4Cu9
1.0
9.156 0.000 0.000
0.000 9.156 0.000
0.000 0.000 9.156
Cu In
36 16
direct
0.358 0.000 0.000
0.642 0.000 0.000
0.000 0.358 0.000
0.000 0.642 0.000
0.325 0.325 0.029
0.675 0.675 0.029
0.500 0.500 0.147
0.834 0.166 0.166
0.166 0.834 0.166
0.325 0.029 0.325
0.029 0.325 0.325
0.971 0.675 0.325
0.675 0.971 0.325
0.330 0.330 0.330
0.670 0.670 0.330
0.000 0.000 0.358
0.598 0.402 0.402
0.402 0.598 0.402
0.500 0.147 0.500
0.147 0.500 0.500
0.853 0.500 0.500
0.500 0.853 0.500
0.402 0.402 0.598
0.598 0.598 0.598
0.000 0.000 0.642
0.670 0.330 0.670
0.330 0.670 0.670
0.675 0.029 0.675
0.971 0.325 0.675
0.029 0.675 0.675
0.325 0.971 0.675
0.166 0.166 0.834
0.834 0.834 0.834
0.500 0.500 0.853
0.675 0.325 0.971
0.325 0.675 0.971
0.132 0.132 0.132
0.868 0.868 0.132
0.536 0.192 0.192
0.808 0.464 0.192
0.192 0.536 0.192
0.464 0.808 0.192
0.808 0.192 0.464
0.192 0.808 0.464
0.192 0.192 0.536
0.808 0.808 0.536
0.464 0.192 0.808
0.192 0.464 0.808
0.808 0.536 0.808
0.536 0.808 0.808
0.868 0.132 0.868
0.132 0.868 0.868
```

## Properties
E_tot = -0.2506 Ry per atom
Mass density = 8.9 Mg/m³



8.
The following is a DFT calculation (PBE-GGA) of a relaxed BaNdAg crystal.

```
BaNdAg
1.0
0.000 3.852 3.852
3.852 0.000 3.852
3.852 3.852 0.000
Ag Ba Nd
1 1 1
direct
0.000 0.000 0.000
0.250 0.250 0.250
0.750 0.750 0.750
```

## Properties
E_tot = -0.2220 Ry per atom
Mass density = 5.7 Mg/m³
Magnetization = 0.66 μB/cell